Record 1
PmY2Tm6Sc3 | PBE | relaxed

mass density = 6946 kg/m3
DFT total energy = -125.9 eV for the cell shown

a b c (Å): 6.010 10.403 11.427
angles (deg): 90.00 100.07 90.00
Space group C2/m (No. 12)
Symmetry-distinct sites (fractional):
Pm  0.000  0.000  0.000 (multiplicity 2)
Y  0.000  0.333  0.000 (multiplicity 4)
Tm  0.246  0.000  0.739 (multiplicity 4)
Tm  0.246  0.333  0.739 (multiplicity 8)
Sc  0.000  0.167  0.500 (multiplicity 4)
Sc  0.000  0.500  0.500 (multiplicity 2)

=====

Record 2
Th2Ge3Rh4 | PBE | relaxed

mass density = 11073 kg/m3
DFT total energy = -263.5 eV for the cell shown

a b c (Å): 5.806 15.541 7.271
angles (deg): 90.00 90.00 90.00
Space group Cmce (No. 64)
Symmetry-distinct sites (fractional):
Th  0.000  0.109  0.086 (multiplicity 8)
Ge  0.000  0.000  0.500 (multiplicity 4)
Ge  0.250  0.232  0.750 (multiplicity 8)
Rh  0.000  0.175  0.478 (multiplicity 8)
Rh  0.250  0.068  0.750 (multiplicity 8)

=====

Record 3
GeSbMoI2 | PBE | relaxed

formation energy without anion corrections = 1099 meV/atom
mass density = 5128 kg/m3
DFT total energy = -17.2 eV for the cell shown

a b c (Å): 5.609 5.609 5.600
angles (deg): 90.00 90.00 90.00
Space group P4/mmm (No. 123)
Symmetry-distinct sites (fractional):
Ge  0.000  0.000  0.000 (multiplicity 1)
Sb  0.000  0.000  0.500 (multiplicity 1)
Mo  0.500  0.500  0.500 (multiplicity 1)
I  0.000  0.500  0.000 (multiplicity 2)

=====

Record 4
AuBr5 | PBE | relaxed

formation energy without anion corrections = 62 meV/atom
mass density = 4632 kg/m3
DFT total energy = -22.5 eV for the cell shown

a b c (Å): 8.666 3.866 12.765
angles (deg): 90.00 90.00 90.00
Space group Amm2 (No. 38)
Symmetry-distinct sites (fractional):
Au  0.000  0.000  0.000 (multiplicity 2)
Br  0.000  0.000  0.365 (multiplicity 2)
Br  0.000  0.000  0.635 (multiplicity 2)
Br  0.500  0.000  0.195 (multiplicity 2)
Br  0.500  0.000  0.528 (multiplicity 2)
Br  0.500  0.000  0.861 (multiplicity 2)

=====

Record 5
Er2PaMn | PBE | relaxed

mass density = 10552 kg/m3
DFT total energy = -103.5 eV for the cell shown

a b c (Å): 7.310 7.310 7.310
angles (deg): 90.00 90.00 90.00
Space group Fm-3m (No. 225)
Symmetry-distinct sites (fractional):
Er  0.250  0.250  0.250 (multiplicity 8)
Pa  0.000  0.000  0.000 (multiplicity 4)
Mn  0.000  0.000  0.500 (multiplicity 4)

=====

Record 6
RbMg2ScN | PBE | relaxed

formation energy without anion corrections = 362 meV/atom
mass density = 1976 kg/m3
DFT total energy = -17.0 eV for the cell shown

a b c (Å): 6.314 6.314 4.069
angles (deg): 90.00 90.00 90.00
Space group P4/mmm (No. 123)
Symmetry-distinct sites (fractional):
Rb  0.000  0.000  0.000 (multiplicity 1)
Mg  0.000  0.500  0.500 (multiplicity 2)
Sc  0.500  0.500  0.500 (multiplicity 1)
N  0.500  0.500  0.000 (multiplicity 1)

=====

Record 7
Er3MgSc2 | PBE | relaxed

mass density = 5707 kg/m3
DFT total energy = -104.0 eV for the cell shown

a b c (Å): 14.296 9.396 5.338
angles (deg): 90.00 90.00 90.00
Space group Cmc2_1 (No. 36)
Symmetry-distinct sites (fractional):
Er  0.000  0.098  0.000 (multiplicity 4)
Er  0.248  0.367  0.501 (multiplicity 8)
Mg  0.000  0.287  0.500 (multiplicity 4)
Sc  0.103  0.398  0.001 (multiplicity 8)

=====

Record 8
PmDyZnIr | PBE | relaxed

mass density = 10092 kg/m3
DFT total energy = -43.5 eV for the cell shown

a b c (Å): 4.349 3.968 10.776
angles (deg): 90.00 90.00 90.00
Space group Amm2 (No. 38)
Symmetry-distinct sites (fractional):
Pm  0.000  0.000  0.000 (multiplicity 2)
Dy  0.500  0.000  0.720 (multiplicity 2)
Zn  0.500  0.000  0.427 (multiplicity 2)
Ir  0.000  0.000  0.285 (multiplicity 2)